Record 1
A plane-wave DFT calculation with PBE was carried out for a relaxed structure of PuUFeOs.

Cell: 4.742 4.742 4.742 Å, 60.00 60.00 60.00°
Each line ends with the local moment (μB).
Element x y z (fractional)
Os: 0.250 0.250 0.250  -0.50
U: 0.500 0.500 0.500  2.11
Fe: 0.750 0.750 0.750  -1.92
Pu: 0.000 0.000 0.000  5.04

Properties
space-group type: F-43m
E: -0.4143 Ha/atom
formation energy: 0.056 eV per atom
energy above the lowest structure with this stoichiometry: 189 meV per atom

Record 2
A plane-wave DFT calculation with PBE was carried out for a relaxed structure of PuUFeOs.

Cell: 4.562 4.562 4.562 Å, 60.00 60.00 60.00°
Each line ends with the local moment (μB).
Element x y z (fractional)
Pu: 0.250 0.250 0.250  4.38
U: 0.000 0.000 0.000  0.85
Fe: 0.500 0.500 0.500  -2.27
Os: 0.750 0.750 0.750  -0.44

Properties
space-group type: F-43m
E: -0.4212 Ha/atom
formation energy: -0.133 eV per atom
energy above the lowest structure with this stoichiometry: 0 meV per atom

Record 3
A plane-wave DFT calculation with PBE was carried out for a relaxed structure of PuVFeOs.

Cell: 4.497 4.497 4.497 Å, 60.00 60.00 60.00°
Each line ends with the local moment (μB).
Element x y z (fractional)
V: 0.500 0.500 0.500  1.50
Os: 0.750 0.750 0.750  -0.34
Fe: 0.250 0.250 0.250  -1.94
Pu: 0.000 0.000 0.000  4.92

Properties
space-group type: F-43m
E: -0.3920 Ha/atom
formation energy: 0.118 eV per atom

Record 4
A plane-wave DFT calculation with PBE was carried out for a relaxed structure of YPuFeOs.

Cell: 4.792 4.792 4.792 Å, 60.00 60.00 60.00°
Each line ends with the local moment (μB).
Element x y z (fractional)
Y: 0.750 0.750 0.750  0.11
Os: 0.000 0.000 0.000  -0.49
Fe: 0.500 0.500 0.500  -2.36
Pu: 0.250 0.250 0.250  5.02

Properties
space-group type: F-43m
E: -0.3723 Ha/atom
formation energy: -0.007 eV per atom

Record 5
A plane-wave DFT calculation with PBE was carried out for a relaxed structure of PuZnFeOs.

Cell: 4.496 4.496 4.496 Å, 60.00 60.00 60.00°
Each line ends with the local moment (μB).
Element x y z (fractional)
Zn: 0.000 0.000 0.000  0.02
Os: 0.250 0.250 0.250  -0.45
Fe: 0.750 0.750 0.750  -2.15
Pu: 0.500 0.500 0.500  4.79

Properties
space-group type: F-43m
E: -0.3217 Ha/atom
formation energy: 0.072 eV per atom

Record 6
A plane-wave DFT calculation with PBE was carried out for a relaxed structure of PuZrFeOs.

Cell: 4.676 4.676 4.676 Å, 60.00 60.00 60.00°
Each line ends with the local moment (μB).
Element x y z (fractional)
Os: 0.750 0.750 0.750  -0.30
Fe: 0.250 0.250 0.250  -1.93
Zr: 0.500 0.500 0.500  0.33
Pu: 0.000 0.000 0.000  5.00

Properties
space-group type: F-43m
E: -0.3956 Ha/atom
formation energy: -0.121 eV per atom

Record 7
A plane-wave DFT calculation with PBE was carried out for a relaxed structure of RbFeOs3.

Cell: 4.596 4.596 4.596 Å, 90.00 90.00 90.00°
Each line ends with the local moment (μB).
Element x y z (fractional)
Os: 0.000 0.500 0.000  0.18
Os: 0.000 0.000 0.500  0.09
Os: 0.500 0.000 0.000  0.14
Fe: 0.000 0.000 0.000  0.03
Rb: 0.500 0.500 0.500  0.00

Properties
space-group type: Pm-3m
E: -0.2418 Ha/atom
formation energy: 2.045 eV per atom
energy above the lowest structure with this stoichiometry: 0 meV per atom

Record 8
A plane-wave DFT calculation with PBE was carried out for a relaxed structure of Rb2FeOs.

Cell: 5.750 5.750 5.750 Å, 60.00 60.00 60.00°
Each line ends with the local moment (μB).
Element x y z (fractional)
Os: 0.500 0.500 0.500  2.42
Fe: 0.000 0.000 0.000  3.29
Rb: 0.250 0.250 0.250  0.00
Rb: 0.750 0.750 0.750  0.00

Properties
space-group type: Fm-3m
E: -0.1205 Ha/atom
formation energy: 2.129 eV per atom

> What is the formula in the third record?

PuVFeOs